# VAsAu3

A relaxed structure of VAsAu3 (PBE-GGA, Alexandria via LeMat-Bulk).

Formation energy: 0.694 eV/atom
Total magnetization: 3.63 Bohr magnetons per cell
DOS(E_F): 1.5055 states/eV/atom

a = 4.883 Å, b = 4.883 Å, c = 4.883 Å
α = 90.00°, β = 90.00°, γ = 90.00°
Fractional coordinates of all 5 atoms:
V: 0.000 0.000 0.000
As: 0.500 0.500 0.500
Au: 0.000 0.500 0.500
Au: 0.500 0.000 0.500
Au: 0.500 0.500 0.000